DyTlPd | PBE-GGA | relaxed

As for the calculated density: 11.5 Mg/m³. For the formation energy, the calculation gives -1.92 eV per formula unit.

a = 3.750 Å, b = 7.915 Å, c = 13.810 Å
α = 90.00°, β = 90.00°, γ = 90.00°
Fractional coordinates of all 18 atoms:
Dy 0.000 0.164 0.250
Dy 0.000 0.836 0.750
Dy 0.000 0.222 0.551
Dy 0.000 0.778 0.449
Dy 0.000 0.778 0.051
Dy 0.000 0.222 0.949
Pd 0.000 0.447 0.750
Pd 0.000 0.553 0.250
Pd 0.500 0.934 0.906
Pd 0.500 0.066 0.094
Pd 0.500 0.066 0.406
Pd 0.500 0.934 0.594
Tl 0.500 0.430 0.110
Tl 0.500 0.570 0.610
Tl 0.500 0.430 0.390
Tl 0.500 0.822 0.250
Tl 0.500 0.570 0.890
Tl 0.500 0.178 0.750